No. 1
Material: LiBi2Se3
Method: DFT, PBE
State: relaxed

a = 7.1804 Å, b = 7.1804 Å, c = 8.4489 Å
α = 106.56°, β = 106.56°, γ = 51.29°
Last column: nearest neighbours and their distance in Å.
Sites, in units of the cell vectors:
Li: 0.0464 0.9536 0.7500  5 Se 2.71-2.98
Li: 0.9536 0.0464 0.2500  5 Se 2.71-2.98
Bi: 0.3087 0.3473 0.4188  6 Se 2.91-3.22
Bi: 0.3473 0.3087 0.9188  6 Se 2.91-3.22
Bi: 0.6527 0.6913 0.0812  6 Se 2.91-3.22
Bi: 0.6913 0.6527 0.5812  6 Se 2.91-3.22
Se: 0.1261 0.2012 0.0829  2 Li 2.89-2.98, 4 Bi 2.91-3.22
Se: 0.2012 0.1261 0.5829  2 Li 2.89-2.98, 4 Bi 2.91-3.22
Se: 0.4827 0.5173 0.7500  1 Li 2.71, 4 Bi 2.97-3.01
Se: 0.5173 0.4827 0.2500  1 Li 2.71, 4 Bi 2.97-3.01
Se: 0.7988 0.8739 0.4171  2 Li 2.89-2.98, 4 Bi 2.91-3.22
Se: 0.8739 0.7988 0.9171  2 Li 2.89-2.98, 4 Bi 2.91-3.22

N(E_F) in states/eV per atom: 0.17
ρ in g cm⁻³: 6.815
Magnetic moment in μB/atom: 0.000
Calculated total energy in eV/atom: -3.873
Raw formation energy in kcal/mol of atoms: -11.956
Energy above the lowest structure with this stoichiometry in meV/atom: 0


No. 2
Material: Li3Bi4Se8
Method: DFT, PBE
State: relaxed

a = 8.2410 Å, b = 8.2410 Å, c = 8.1527 Å
α = 119.43°, β = 119.43°, γ = 91.19°
Last column: nearest neighbours and their distance in Å.
Sites, in units of the cell vectors:
Li: 0.0000 0.0000 0.0000  6 Se 2.82-2.93
Li: 0.0000 0.5000 0.0000  6 Se 2.88-2.94
Li: 0.5000 0.0000 0.0000  6 Se 2.88-2.94
Bi: 0.0000 0.0000 0.5000  6 Se 2.86-2.97
Bi: 0.0000 0.5000 0.5000  6 Se 2.88-2.95
Bi: 0.5000 0.0000 0.5000  6 Se 2.88-2.95
Bi: 0.5000 0.5000 0.0000  6 Se 2.95-2.98
Se: 0.2409 0.2409 0.9926  3 Li 2.82-2.94, 2 Bi 2.86-2.95
Se: 0.2480 0.7520 0.5000  3 Bi 2.88-2.92, 2 Li 2.90
Se: 0.2488 0.7512 0.0000  3 Li 2.88-2.93, 3 Bi 2.90-2.96
Se: 0.2506 0.2506 0.4864  1 Li 2.83, 4 Bi 2.95-2.98
Se: 0.7494 0.7494 0.5136  1 Li 2.83, 4 Bi 2.95-2.98
Se: 0.7512 0.2488 0.0000  3 Li 2.88-2.93, 3 Bi 2.90-2.96
Se: 0.7520 0.2480 0.5000  3 Bi 2.88-2.92, 2 Li 2.90
Se: 0.7591 0.7591 0.0074  3 Li 2.82-2.94, 2 Bi 2.86-2.95

N(E_F) in states/eV per atom: 0.52
ρ in g cm⁻³: 6.270
Magnetic moment in μB/atom: 0.000
Calculated total energy in eV/atom: -3.836
Raw formation energy in kcal/mol of atoms: -12.905


No. 3
Material: LiBi2Se4
Method: DFT, PBE
State: relaxed

a = 7.2856 Å, b = 7.2856 Å, c = 13.2656 Å
α = 90.00°, β = 90.00°, γ = 146.59°
Last column: nearest neighbours and their distance in Å.
Sites, in units of the cell vectors:
Li: 0.0727 0.9273 0.7500  2 Se 2.54
Li: 0.9273 0.0727 0.2500  2 Se 2.54
Bi: 0.3636 0.6364 0.5714  6 Se 2.80-3.11
Bi: 0.3636 0.6364 0.9286  6 Se 2.80-3.11
Bi: 0.6364 0.3636 0.0714  6 Se 2.80-3.11
Bi: 0.6364 0.3636 0.4286  6 Se 2.80-3.11
Se: 0.0000 0.0000 0.0000  4 Bi 2.98
Se: 0.0000 0.0000 0.5000  4 Bi 2.98
Se: 0.2682 0.7318 0.1401  1 Se 2.92, 3 Bi 2.93-3.11
Se: 0.2682 0.7318 0.3599  1 Se 2.92, 3 Bi 2.93-3.11
Se: 0.4699 0.5301 0.7500  2 Li 2.54, 2 Bi 2.80
Se: 0.5301 0.4699 0.2500  2 Li 2.54, 2 Bi 2.80
Se: 0.7318 0.2682 0.6401  1 Se 2.92, 3 Bi 2.93-3.11
Se: 0.7318 0.2682 0.8599  1 Se 2.92, 3 Bi 2.93-3.11

N(E_F) in states/eV per atom: 0.61
ρ in g cm⁻³: 6.344
Magnetic moment in μB/atom: 0.000
Calculated total energy in eV/atom: -3.799
Raw formation energy in kcal/mol of atoms: -9.818


No. 4
Material: Li2BiSe
Method: DFT, PBE
State: relaxed

a = 6.9358 Å, b = 6.9358 Å, c = 6.9358 Å
α = 90.00°, β = 90.00°, γ = 90.00°
Last column: nearest neighbours and their distance in Å.
Sites, in units of the cell vectors:
Li: 0.2500 0.2500 0.2500  4 Se 3.00, 4 Bi 3.00
Li: 0.2500 0.2500 0.7500  4 Se 3.00, 4 Bi 3.00
Li: 0.2500 0.7500 0.2500  4 Se 3.00, 4 Bi 3.00
Li: 0.2500 0.7500 0.7500  4 Se 3.00, 4 Bi 3.00
Li: 0.7500 0.2500 0.2500  4 Se 3.00, 4 Bi 3.00
Li: 0.7500 0.2500 0.7500  4 Se 3.00, 4 Bi 3.00
Li: 0.7500 0.7500 0.2500  4 Se 3.00, 4 Bi 3.00
Li: 0.7500 0.7500 0.7500  4 Se 3.00, 4 Bi 3.00
Bi: 0.0000 0.0000 0.0000  8 Li 3.00
Bi: 0.0000 0.5000 0.5000  8 Li 3.00
Bi: 0.5000 0.0000 0.5000  8 Li 3.00
Bi: 0.5000 0.5000 0.0000  8 Li 3.00
Se: 0.0000 0.0000 0.5000  8 Li 3.00
Se: 0.0000 0.5000 0.0000  8 Li 3.00
Se: 0.5000 0.0000 0.0000  8 Li 3.00
Se: 0.5000 0.5000 0.5000  8 Li 3.00

N(E_F) in states/eV per atom: 0.49
ρ in g cm⁻³: 6.009
Magnetic moment in μB/atom: 0.000
Calculated total energy in eV/atom: -3.215
Raw formation energy in kcal/mol of atoms: -9.611
Energy above the lowest structure with this stoichiometry in meV/atom: 137